# 1
This record from the Alexandria database describes an optimized crystal structure of H2Os2Cl. The functional is PBE-GGA.

Computed properties:
As for the energy above the lowest structure with this stoichiometry: 1.07 eV/f.u. The value obtained for the final energy is -4.918 eV per atom. Its space group is No. 127.

Cell: 5.9084 5.9084 2.8619 Å, 90.00 90.00 90.00°
With the nearest neighbours (Å) after each atom.
Fractional positions:
H 0.4089 0.9089 0.0000  1 H 1.52
H 0.9089 0.5911 0.0000  1 H 1.52
H 0.5911 0.0911 0.0000  1 H 1.52
H 0.0911 0.4089 0.0000  1 H 1.52
Os 0.1566 0.6566 0.5000  4 H 2.08
Os 0.6566 0.8434 0.5000  4 H 2.08
Os 0.8434 0.3434 0.5000  4 H 2.08
Os 0.3434 0.1566 0.5000  4 H 2.08
Cl 0.0000 0.0000 0.0000  4 H 2.48, 8 Os 2.65
Cl 0.5000 0.5000 0.0000  4 H 2.48, 8 Os 2.65



# 2
This record from the Alexandria database describes an optimized crystal structure of KNaTiO2. The functional is PBE-GGA.

Computed properties:
The value obtained for the final energy is -5.229 eV per atom. As for the formation energy (no corrections): -1183 meV/atom. Its space group is No. 123.

Cell: 4.0092 5.4169 4.0092 Å, 90.00 90.00 90.00°
With the nearest neighbours (Å) after each atom.
Fractional positions:
Na 0.0000 0.5000 0.0000  2 Ti 2.71, 4 K 2.83
K 0.5000 0.5000 0.5000  4 Na 2.83
O 0.0000 0.0000 0.5000  2 Ti 2.00
O 0.5000 0.0000 0.0000  2 Ti 2.00
Ti 0.0000 0.0000 0.0000  4 O 2.00



# 3
This record from the Alexandria database describes an optimized crystal structure of Dy5Hg6Pb. The functional is PBE-GGA.

Computed properties:
The value obtained for the formation energy is -0.429 eV/atom. The value obtained for the final energy is -2.806 eV per atom. Its space group is No. 65.

Cell: 5.2327 7.5475 8.2474 Å, 90.00 71.50 90.00°
With the nearest neighbours (Å) after each atom.
Fractional positions:
Pb 0.0000 0.0000 0.0000  8 Hg 3.28-3.33, 4 Dy 3.55
Hg 0.8268 0.7557 0.3465  7 Dy 3.10-3.33, 1 Pb 3.28
Hg 0.8268 0.2443 0.3465  7 Dy 3.10-3.33, 1 Pb 3.28
Hg 0.5000 0.2733 0.0000  6 Dy 3.13-3.19, 2 Pb 3.33, 1 Hg 3.42
Hg 0.5000 0.7267 0.0000  6 Dy 3.13-3.19, 2 Pb 3.33, 1 Hg 3.42
Hg 0.1732 0.7557 0.6535  7 Dy 3.10-3.33, 1 Pb 3.28
Hg 0.1732 0.2443 0.6535  7 Dy 3.10-3.33, 1 Pb 3.28
Dy 0.6719 0.5000 0.6563  8 Hg 3.10-3.25
Dy 0.3469 0.0000 0.3062  8 Hg 3.16-3.28
Dy 0.0000 0.5000 0.0000  8 Hg 3.13-3.33
Dy 0.6531 0.0000 0.6938  8 Hg 3.16-3.28
Dy 0.3281 0.5000 0.3437  8 Hg 3.10-3.25



# 4
This record from the Alexandria database describes an optimized crystal structure of CdIrOs. The functional is PBE-GGA.

Computed properties:
As for the energy above the lowest structure with this stoichiometry: 0.00 eV/f.u. The value obtained for the formation energy is 0.110 eV/atom. The value obtained for the final energy is -6.891 eV per atom. Its space group is No. 129.

Cell: 2.7979 2.7979 12.4830 Å, 90.00 90.00 90.00°
With the nearest neighbours (Å) after each atom.
Fractional positions:
Cd 0.0000 0.5000 0.6043  4 Cd 2.80, 4 Ir 2.93
Cd 0.5000 0.0000 0.3957  4 Cd 2.80, 4 Ir 2.93
Ir 0.0000 0.5000 0.2226  4 Os 2.68, 4 Ir 2.80, 4 Cd 2.93
Ir 0.5000 0.0000 0.7774  4 Os 2.68, 4 Ir 2.80, 4 Cd 2.93
Os 0.5000 0.0000 0.0775  4 Ir 2.68, 8 Os 2.77-2.80
Os 0.0000 0.5000 0.9225  4 Ir 2.68, 8 Os 2.77-2.80



# 5
This record from the Alexandria database describes an optimized crystal structure of SrAuBr5. The functional is PBE-GGA.

Computed properties:
The value obtained for the final energy is -2.755 eV per atom. As for the formation energy (no corrections): -851 meV/atom. Its space group is No. 15.

Cell: 7.2530 7.2530 10.7694 Å, 70.86 70.86 72.90°
With the nearest neighbours (Å) after each atom.
Fractional positions:
Sr 0.5815 0.4185 0.2500  7 Br 3.09-3.32
Sr 0.4185 0.5815 0.7500  7 Br 3.09-3.32
Au 0.0000 0.0000 0.0000  6 Br 2.52-2.79
Au 0.0000 0.0000 0.5000  6 Br 2.52-2.79
Br 0.7139 0.8218 0.0950  1 Au 2.52
Br 0.3467 0.7058 0.4638  1 Au 2.79, 1 Sr 3.09
Br 0.8218 0.7139 0.5950  1 Au 2.52
Br 0.9477 0.0523 0.2500  2 Au 2.73
Br 0.2942 0.6533 0.0362  1 Au 2.79, 1 Sr 3.09
Br 0.7058 0.3467 0.9638  1 Au 2.79, 1 Sr 3.09
Br 0.0523 0.9477 0.7500  2 Au 2.73
Br 0.1782 0.2861 0.4050  1 Au 2.52
Br 0.6533 0.2942 0.5362  1 Au 2.79, 1 Sr 3.09
Br 0.2861 0.1782 0.9050  1 Au 2.52



# 6
This record from the Alexandria database describes an optimized crystal structure of RbTbSc4S8. The functional is PBE-GGA.

Computed properties:
The value obtained for the final energy is -6.303 eV per atom. As for the formation energy (no corrections): -1736 meV/atom. Its space group is No. 160.

Cell: 7.8279 7.8279 8.0909 Å, 61.07 61.07 60.00°
With the nearest neighbours (Å) after each atom.
Fractional positions:
Rb 0.3640 0.3640 0.9079  4 S 2.81-2.87
Tb 0.0049 0.0049 0.9854  6 S 2.70-2.85
Sc 0.6268 0.6268 0.1197  4 S 2.51-2.61
Sc 0.0037 0.4842 0.5084  4 S 2.49-2.78
Sc 0.4842 0.0037 0.5084  4 S 2.49-2.78
Sc 0.0037 0.0037 0.5084  4 S 2.49-2.78
S 0.2419 0.8051 0.7111  2 Sc 2.49, 1 Tb 2.70
S 0.8051 0.2419 0.7111  2 Sc 2.49, 1 Tb 2.70
S 0.2419 0.2419 0.7111  2 Sc 2.49, 1 Tb 2.70
S 0.2246 0.2246 0.3261  3 Sc 2.49
S 0.7531 0.2365 0.2574  1 Sc 2.51
S 0.2365 0.7531 0.2574  1 Sc 2.51
S 0.7531 0.7531 0.2574  1 Sc 2.51
S 0.7566 0.7566 0.7303  4 Sc 2.61-2.78



# 7
This record from the Alexandria database describes an optimized crystal structure of K5Hf2S6. The functional is PBE-GGA.

Computed properties:
The value obtained for the final energy is -5.245 eV per atom. As for the formation energy (no corrections): -1387 meV/atom. Its space group is No. 15.

Cell: 7.6742 7.6742 16.8764 Å, 79.99 79.99 64.36°
With the nearest neighbours (Å) after each atom.
Fractional positions:
K 0.6900 0.2129 0.0007  4 S 3.18-3.56
K 0.7871 0.3100 0.4993  4 S 3.18-3.56
K 0.3100 0.7871 0.9993  4 S 3.18-3.56
K 0.2129 0.6900 0.5007  4 S 3.18-3.56
K 0.7218 0.9645 0.7266  5 S 3.13-3.32
K 0.0355 0.2782 0.7734  5 S 3.13-3.32
K 0.2782 0.0355 0.2734  5 S 3.13-3.32
K 0.9645 0.7218 0.2266  5 S 3.13-3.32
K 0.3440 0.6560 0.7500  4 S 3.21-3.33
K 0.6560 0.3440 0.2500  4 S 3.21-3.33
Hf 0.3469 0.1054 0.5733  4 S 2.37-2.48
Hf 0.8946 0.6531 0.9267  4 S 2.37-2.48
Hf 0.6531 0.8946 0.4267  4 S 2.37-2.48
Hf 0.1054 0.3469 0.0733  4 S 2.37-2.48
S 0.0770 0.0320 0.6276  1 Hf 2.37
S 0.9680 0.9230 0.8724  1 Hf 2.37
S 0.9230 0.9680 0.3724  1 Hf 2.37
S 0.0320 0.0770 0.1276  1 Hf 2.37
S 0.3802 0.3331 0.6428  1 Hf 2.39
S 0.6669 0.6198 0.8572  1 Hf 2.39
S 0.6198 0.6669 0.3572  1 Hf 2.39
S 0.3331 0.3802 0.1428  1 Hf 2.39
S 0.6438 0.7968 0.5740  2 Hf 2.47-2.48
S 0.2032 0.3562 0.9260  2 Hf 2.47-2.48
S 0.3562 0.2032 0.4260  2 Hf 2.47-2.48
S 0.7968 0.6438 0.0740  2 Hf 2.47-2.48



# 8
This record from the Alexandria database describes an optimized crystal structure of NaAgHgBr4. The functional is PBE-GGA.

Computed properties:
The value obtained for the final energy is -2.312 eV per atom. As for the formation energy (no corrections): -717 meV/atom. Its space group is No. 74.

Cell: 8.4571 8.4699 8.4699 Å, 60.33 60.05 60.05°
With the nearest neighbours (Å) after each atom.
Fractional positions:
Na 0.0000 0.0000 0.0000  6 Br 2.96-2.99
Na 0.0000 0.5000 0.5000  6 Br 2.96-2.99
Ag 0.5000 0.0000 0.5000  6 Br 2.89-2.91
Ag 0.0000 0.0000 0.5000  6 Br 2.89-2.91
Hg 0.6258 0.6242 0.1242  4 Br 2.71
Hg 0.3742 0.3758 0.8758  4 Br 2.71
Br 0.7502 0.7653 0.7344  1 Hg 2.71, 2 Ag 2.91, 1 Na 2.99
Br 0.2498 0.7656 0.7347  1 Hg 2.71, 2 Ag 2.91, 1 Na 2.99
Br 0.7502 0.2344 0.2653  1 Hg 2.71, 2 Ag 2.91, 1 Na 2.99
Br 0.2498 0.2347 0.2656  1 Hg 2.71, 2 Ag 2.91, 1 Na 2.99
Br 0.2341 0.7587 0.2587  1 Hg 2.71, 1 Ag 2.89, 2 Na 2.96
Br 0.7485 0.7587 0.2587  1 Hg 2.71, 1 Ag 2.89, 2 Na 2.96
Br 0.2515 0.2413 0.7413  1 Hg 2.71, 1 Ag 2.89, 2 Na 2.96
Br 0.7659 0.2413 0.7413  1 Hg 2.71, 1 Ag 2.89, 2 Na 2.96